1.
# YP2Os, optimized geometry, DFT PBE
# - DFT formation energy (eV/atom) = -0.2684
# - theoretical density (g/cm3) = 8.68
# - excess energy over the best structure of this formula in the dataset (eV per atom) = 0.510
data_YP2Os
_chemical_formula_sum 'Y4 P8 Os4'
_cell_length_a 6.391
_cell_length_b 6.391
_cell_length_c 6.391
_cell_angle_alpha 90.00
_cell_angle_beta 90.00
_cell_angle_gamma 90.00
_symmetry_space_group_name_H-M 'F m -3 m'
_symmetry_Int_Tables_number 225
_symmetry_space_group_name_Hall '-F 4 2 3'
loop_
_atom_site_label
_atom_site_type_symbol
_atom_site_fract_x
_atom_site_fract_y
_atom_site_fract_z
_atom_site_occupancy
Y1 Y 0.000 0.000 0.000 1
P1 P 0.250 0.250 0.250 1
Os1 Os 0.000 0.000 0.500 1

2.
# YP2Os, optimized geometry, DFT PBE
# - DFT formation energy (eV/atom) = -0.4331
# - theoretical density (g/cm3) = 6.22
# - excess energy over the best structure of this formula in the dataset (eV per atom) = 0.345
data_YP2Os
_chemical_formula_sum 'Y4 P8 Os4'
_cell_length_a 5.363
_cell_length_b 5.363
_cell_length_c 12.669
_cell_angle_alpha 90.00
_cell_angle_beta 90.00
_cell_angle_gamma 90.00
_symmetry_space_group_name_H-M 'I -4 2 d'
_symmetry_Int_Tables_number 122
_symmetry_space_group_name_Hall 'I -4 2bw'
loop_
_atom_site_label
_atom_site_type_symbol
_atom_site_fract_x
_atom_site_fract_y
_atom_site_fract_z
_atom_site_occupancy
Y1 Y 0.000 0.000 0.000 1
P1 P 0.169 0.250 0.625 1
Os1 Os 0.000 0.000 0.500 1

3.
# YP2Os, optimized geometry, DFT PBE
# - DFT formation energy (eV/atom) = -0.6340
# - theoretical density (g/cm3) = 6.85
# - excess energy over the best structure of this formula in the dataset (eV per atom) = 0.144
data_YP2Os
_chemical_formula_sum 'Y2 P4 Os2'
_cell_length_a 4.247
_cell_length_b 3.742
_cell_length_c 10.407
_cell_angle_alpha 90.00
_cell_angle_beta 90.00
_cell_angle_gamma 90.00
_symmetry_space_group_name_H-M 'A m m 2'
_symmetry_Int_Tables_number 38
_symmetry_space_group_name_Hall 'A 2 -2'
loop_
_atom_site_label
_atom_site_type_symbol
_atom_site_fract_x
_atom_site_fract_y
_atom_site_fract_z
_atom_site_occupancy
Y1 Y 0.000 0.000 0.000 1
P1 P 0.000 0.000 0.708 1
P2 P 0.500 0.000 0.411 1
Os1 Os 0.500 0.000 0.784 1

4.
# Y2POs, optimized geometry, DFT PBE
# - DFT formation energy (eV/atom) = -0.3284
# - theoretical density (g/cm3) = 7.21
data_Y2POs
_chemical_formula_sum 'Y2 P1 Os1'
_cell_length_a 3.711
_cell_length_b 4.330
_cell_length_c 5.722
_cell_angle_alpha 90.00
_cell_angle_beta 90.00
_cell_angle_gamma 90.00
_symmetry_space_group_name_H-M 'P m m 2'
_symmetry_Int_Tables_number 25
_symmetry_space_group_name_Hall 'P 2 -2'
loop_
_atom_site_label
_atom_site_type_symbol
_atom_site_fract_x
_atom_site_fract_y
_atom_site_fract_z
_atom_site_occupancy
Y1 Y 0.000 0.000 0.000 1
Y2 Y 0.500 0.500 0.451 1
P1 P 0.500 0.500 0.955 1
Os1 Os 0.000 0.000 0.489 1

5.
# YP3Os, optimized geometry, DFT PBE
# - DFT formation energy (eV/atom) = 0.1356
# - theoretical density (g/cm3) = 6.11
# - excess energy over the best structure of this formula in the dataset (eV per atom) = 0.000
data_YP3Os
_chemical_formula_sum 'Y1 P3 Os1'
_cell_length_a 4.659
_cell_length_b 4.659
_cell_length_c 4.659
_cell_angle_alpha 90.00
_cell_angle_beta 90.00
_cell_angle_gamma 90.00
_symmetry_space_group_name_H-M 'P m -3 m'
_symmetry_Int_Tables_number 221
_symmetry_space_group_name_Hall '-P 4 2 3'
loop_
_atom_site_label
_atom_site_type_symbol
_atom_site_fract_x
_atom_site_fract_y
_atom_site_fract_z
_atom_site_occupancy
Y1 Y 0.000 0.000 0.000 1
P1 P 0.000 0.500 0.500 1
Os1 Os 0.500 0.500 0.500 1

6.
# YP2Os, optimized geometry, DFT PBE
# - DFT formation energy (eV/atom) = -0.5462
# - theoretical density (g/cm3) = 8.07
# - excess energy over the best structure of this formula in the dataset (eV per atom) = 0.232
data_YP2Os
_chemical_formula_sum 'Y2 P4 Os2'
_cell_length_a 3.313
_cell_length_b 3.515
_cell_length_c 12.048
_cell_angle_alpha 90.00
_cell_angle_beta 90.00
_cell_angle_gamma 90.00
_symmetry_space_group_name_H-M 'I m m 2'
_symmetry_Int_Tables_number 44
_symmetry_space_group_name_Hall 'I 2 -2'
loop_
_atom_site_label
_atom_site_type_symbol
_atom_site_fract_x
_atom_site_fract_y
_atom_site_fract_z
_atom_site_occupancy
Y1 Y 0.000 0.000 0.000 1
P1 P 0.000 0.000 0.615 1
P2 P 0.000 0.500 0.318 1
Os1 Os 0.000 0.500 0.744 1

7.
# YP2Os, optimized geometry, DFT PBE
# - DFT formation energy (eV/atom) = -0.2778
# - theoretical density (g/cm3) = 8.43
# - excess energy over the best structure of this formula in the dataset (eV per atom) = 0.501
data_YP2Os
_chemical_formula_sum 'Y1 P2 Os1'
_cell_length_a 3.258
_cell_length_b 3.258
_cell_length_c 6.326
_cell_angle_alpha 90.00
_cell_angle_beta 90.00
_cell_angle_gamma 90.00
_symmetry_space_group_name_H-M 'P 4 m m'
_symmetry_Int_Tables_number 99
_symmetry_space_group_name_Hall 'P 4 -2'
loop_
_atom_site_label
_atom_site_type_symbol
_atom_site_fract_x
_atom_site_fract_y
_atom_site_fract_z
_atom_site_occupancy
Y1 Y 0.000 0.000 0.000 1
P1 P 0.000 0.000 0.510 1
P2 P 0.500 0.500 0.743 1
Os1 Os 0.500 0.500 0.359 1

8.
# YZrPOs2, optimized geometry, DFT PBE
# - DFT formation energy (eV/atom) = 1.8253
# - theoretical density (g/cm3) = 8.58
data_YZrPOs2
_chemical_formula_sum 'Y1 Zr1 P1 Os2'
_cell_length_a 4.829
_cell_length_b 4.829
_cell_length_c 4.911
_cell_angle_alpha 90.00
_cell_angle_beta 90.00
_cell_angle_gamma 90.00
_symmetry_space_group_name_H-M 'P 4/m m m'
_symmetry_Int_Tables_number 123
_symmetry_space_group_name_Hall '-P 4 2'
loop_
_atom_site_label
_atom_site_type_symbol
_atom_site_fract_x
_atom_site_fract_y
_atom_site_fract_z
_atom_site_occupancy
Y1 Y 0.000 0.000 0.000 1
Zr1 Zr 0.500 0.500 0.500 1
P1 P 0.000 0.000 0.500 1
Os1 Os 0.000 0.500 0.000 1

Which value of theoretical density does entry 4 give? 7.21 g/cm3

Among the records above, which one has the highest theoretical density? number 1